Compound: ZrTi2Rh4
Source: Alexandria
Functional: PBE-GGA
Structure: optimized geometry

Lattice parameters (Å, degrees): 4.7667 4.7667 7.1146 70.43 70.43 90.00
Fractional coordinates of all 7 atoms:
Rh1 0.7898 0.7898 0.4203
Rh2 0.2102 0.2102 0.5797
Rh3 0.0000 0.5000 0.0000
Rh4 0.5000 0.0000 0.0000
Zr1 0.0000 0.0000 0.0000
Ti1 0.6206 0.6206 0.7588
Ti2 0.3794 0.3794 0.2412

electronic total energy = -7.332 eV per atom
volume = 142.4 Å³/cell
spin magnetization = 0.000 μB per cell
crystal system = tetragonal



Compound: Zr3TiRh2
Source: Alexandria
Functional: PBE-GGA
Structure: optimized geometry

Lattice parameters (Å, degrees): 3.3251 3.3251 10.1085 90.00 90.00 90.00
Fractional coordinates of all 6 atoms:
Zr1 0.0000 0.0000 0.0000
Zr2 0.0000 0.0000 0.6784
Zr3 0.0000 0.0000 0.3216
Ti1 0.5000 0.5000 0.5000
Rh1 0.5000 0.5000 0.8456
Rh2 0.5000 0.5000 0.1544

energy above the most stable polymorph in this dataset = 0 meV/atom
electronic total energy = -8.569 eV per atom
volume = 111.8 Å³/cell
spin magnetization = 0.000 μB per cell
crystal system = tetragonal